Entry from the Open Quantum Materials Database: a relaxed Na4CoO4 crystal (GGA+U).

Cell and atoms, written as POSCAR:
```
Na4CoO4
1.0
5.659 0.000 0.000
2.122 5.302 0.000
1.366 2.218 7.977
Na Co O
8 2 8
Direct
0.228 0.485 0.069
0.241 0.232 0.476
0.261 0.579 0.675
0.263 0.049 0.889
0.737 0.951 0.111
0.739 0.421 0.325
0.759 0.768 0.524
0.772 0.515 0.931
0.222 0.847 0.255
0.778 0.153 0.745
0.023 0.171 0.147
0.028 0.640 0.307
0.376 0.833 0.429
0.473 0.712 0.110
0.527 0.288 0.890
0.624 0.167 0.571
0.972 0.360 0.693
0.977 0.829 0.853
```

The total energy comes out at -83.958 eV/cell. The spin magnetization comes out at 5.0 μB/f.u.